Record 1
! InNiW2N (meta-GGA SCAN, PBEsol geometry); values from VASP
! D(E_F) = 2.6 states/eV/cell
! DFT total energy = -39.3824 eV per atom
! total magnetic moment = 0.000 Bohr magnetons per cell
&SYSTEM
  ibrav = 0, nat = 5, ntyp = 4
/
ATOMIC_SPECIES
In 114.82 In.upf
Ni 58.69 Ni.upf
W 183.84 W.upf
N 14.01 N.upf
ATOMIC_POSITIONS crystal
In 0.0000 0.0000 0.0000
Ni 0.5000 0.5000 0.0000
W 0.0000 0.5000 0.5000
W 0.5000 0.0000 0.5000
N 0.5000 0.5000 0.5000
CELL_PARAMETERS angstrom
4.0920 0.0000 0.0000
0.0000 4.0920 0.0000
0.0000 0.0000 4.0320

Record 2
! In3NO3 (meta-GGA SCAN, PBEsol geometry); values from VASP
! DFT total energy = -19.5712 eV per atom
! total magnetic moment = 0.000 Bohr magnetons per cell
&SYSTEM
  ibrav = 0, nat = 14, ntyp = 3
/
ATOMIC_SPECIES
In 114.82 In.upf
N 14.01 N.upf
O 16.00 O.upf
ATOMIC_POSITIONS crystal
In 0.0000 0.0000 0.0000
In 0.0000 0.0000 0.5000
In 0.0000 0.5000 0.0000
In 0.3637 0.3637 0.3637
In 0.5000 0.0000 0.0000
In 0.6363 0.6363 0.6363
N 0.2329 0.2329 0.2329
N 0.7671 0.7671 0.7671
O 0.2345 0.7605 0.7605
O 0.2395 0.2395 0.7655
O 0.2395 0.7655 0.2395
O 0.7605 0.2345 0.7605
O 0.7605 0.7605 0.2345
O 0.7655 0.2395 0.2395
CELL_PARAMETERS angstrom
3.2195 1.8588 5.3491
-3.2195 1.8588 5.3491
0.0000 -3.7175 5.3491

Record 3
! In3NO3 (meta-GGA SCAN, PBEsol geometry); values from VASP
! D(E_F) = 1.6 states/eV/cell
! DFT total energy = -19.5480 eV per atom
! total magnetic moment = 0.000 Bohr magnetons per cell
&SYSTEM
  ibrav = 0, nat = 14, ntyp = 3
/
ATOMIC_SPECIES
In 114.82 In.upf
N 14.01 N.upf
O 16.00 O.upf
ATOMIC_POSITIONS crystal
In 0.0000 0.0000 0.0000
In 0.0000 0.5000 0.5000
In 0.3617 0.2272 0.6345
In 0.4896 0.9927 0.9969
In 0.5927 0.7272 0.3655
In 0.9957 0.4927 0.0031
N 0.2012 0.4653 0.2359
N 0.2294 0.9653 0.7641
O 0.2353 0.5026 0.7592
O 0.2353 0.9761 0.2327
O 0.7434 0.0026 0.7673
O 0.7429 0.0053 0.2376
O 0.7434 0.4761 0.2408
O 0.7677 0.5053 0.7624
CELL_PARAMETERS angstrom
-3.2405 4.5680 3.2531
3.2405 -4.5680 3.2531
3.2405 4.5680 -3.2531

Record 4
! InPN2O (meta-GGA SCAN, PBEsol geometry); values from VASP
! D(E_F) = 1.6 states/eV/cell
! DFT total energy = -12.1736 eV per atom
! total magnetic moment = 2.002 Bohr magnetons per cell
&SYSTEM
  ibrav = 0, nat = 5, ntyp = 4
/
ATOMIC_SPECIES
In 114.82 In.upf
P 30.97 P.upf
N 14.01 N.upf
O 16.00 O.upf
ATOMIC_POSITIONS crystal
In 0.0000 0.0000 0.0000
P 0.5000 0.5000 0.5000
N 0.0000 0.5000 0.0000
N 0.5000 0.0000 0.0000
O 0.0000 0.0000 0.5000
CELL_PARAMETERS angstrom
4.2134 0.0000 0.0000
0.0000 4.2134 0.0000
0.0000 0.0000 4.0186

Record 5
! InPNO2 (meta-GGA SCAN, PBEsol geometry); values from VASP
! D(E_F) = 2.3 states/eV/cell
! DFT total energy = -12.2619 eV per atom
! total magnetic moment = 0.942 Bohr magnetons per cell
&SYSTEM
  ibrav = 0, nat = 5, ntyp = 4
/
ATOMIC_SPECIES
In 114.82 In.upf
P 30.97 P.upf
N 14.01 N.upf
O 16.00 O.upf
ATOMIC_POSITIONS crystal
In 0.0000 0.0000 0.0000
P 0.5000 0.5000 0.5000
N 0.0000 0.0000 0.5000
O 0.0000 0.5000 0.0000
O 0.5000 0.0000 0.0000
CELL_PARAMETERS angstrom
4.0166 0.0000 0.0000
0.0000 4.0166 0.0000
0.0000 0.0000 4.1884

Record 6
! InP2NO (meta-GGA SCAN, PBEsol geometry); values from VASP
! D(E_F) = 2.5 states/eV/cell
! DFT total energy = -12.3082 eV per atom
! total magnetic moment = 1.117 Bohr magnetons per cell
&SYSTEM
  ibrav = 0, nat = 5, ntyp = 4
/
ATOMIC_SPECIES
In 114.82 In.upf
P 30.97 P.upf
N 14.01 N.upf
O 16.00 O.upf
ATOMIC_POSITIONS crystal
In 0.0000 0.0000 0.0000
P 0.0000 0.5000 0.0000
P 0.5000 0.0000 0.0000
N 0.5000 0.5000 0.5000
O 0.0000 0.0000 0.5000
CELL_PARAMETERS angstrom
5.0913 0.0000 0.0000
0.0000 5.0913 0.0000
0.0000 0.0000 3.9431

Record 7
! InPNO2 (meta-GGA SCAN, PBEsol geometry); values from VASP
! D(E_F) = 3.1 states/eV/cell
! DFT total energy = -12.0085 eV per atom
! total magnetic moment = 2.928 Bohr magnetons per cell
&SYSTEM
  ibrav = 0, nat = 5, ntyp = 4
/
ATOMIC_SPECIES
In 114.82 In.upf
P 30.97 P.upf
N 14.01 N.upf
O 16.00 O.upf
ATOMIC_POSITIONS crystal
In 0.0000 0.0000 0.0000
P 0.0000 0.0000 0.5000
N 0.5000 0.5000 0.5000
O 0.0000 0.5000 0.0000
O 0.5000 0.0000 0.0000
CELL_PARAMETERS angstrom
3.8914 0.0000 0.0000
0.0000 3.8914 0.0000
0.0000 0.0000 5.6502

Record 8
! InPdN2O (meta-GGA SCAN, PBEsol geometry); values from VASP
! D(E_F) = 1.8 states/eV/cell
! DFT total energy = -17.2935 eV per atom
! total magnetic moment = 1.760 Bohr magnetons per cell
&SYSTEM
  ibrav = 0, nat = 5, ntyp = 4
/
ATOMIC_SPECIES
In 114.82 In.upf
Pd 106.42 Pd.upf
N 14.01 N.upf
O 16.00 O.upf
ATOMIC_POSITIONS crystal
In 0.0000 0.0000 0.0000
Pd 0.5000 0.5000 0.5000
N 0.0000 0.5000 0.5000
N 0.5000 0.0000 0.5000
O 0.5000 0.5000 0.0000
CELL_PARAMETERS angstrom
3.8714 0.0000 0.0000
0.0000 3.8714 0.0000
0.0000 0.0000 4.0517

Record 9
! RbInN2O (meta-GGA SCAN, PBEsol geometry); values from VASP
! D(E_F) = 1.8 states/eV/cell
! DFT total energy = -15.3319 eV per atom
! total magnetic moment = 4.000 Bohr magnetons per cell
&SYSTEM
  ibrav = 0, nat = 5, ntyp = 4
/
ATOMIC_SPECIES
Rb 85.47 Rb.upf
In 114.82 In.upf
N 14.01 N.upf
O 16.00 O.upf
ATOMIC_POSITIONS crystal
Rb 0.0000 0.0000 0.0000
In 0.5000 0.5000 0.5000
N 0.0000 0.5000 0.5000
N 0.5000 0.0000 0.5000
O 0.5000 0.5000 0.0000
CELL_PARAMETERS angstrom
4.4493 0.0000 0.0000
0.0000 4.4493 0.0000
0.0000 0.0000 4.2630

Record 10
! RbInNO2 (meta-GGA SCAN, PBEsol geometry); values from VASP
! D(E_F) = 2.7 states/eV/cell
! DFT total energy = -15.4895 eV per atom
! total magnetic moment = 3.000 Bohr magnetons per cell
&SYSTEM
  ibrav = 0, nat = 5, ntyp = 4
/
ATOMIC_SPECIES
Rb 85.47 Rb.upf
In 114.82 In.upf
N 14.01 N.upf
O 16.00 O.upf
ATOMIC_POSITIONS crystal
Rb 0.0000 0.0000 0.0000
In 0.5000 0.5000 0.5000
N 0.5000 0.5000 0.0000
O 0.0000 0.5000 0.5000
O 0.5000 0.0000 0.5000
CELL_PARAMETERS angstrom
4.2662 0.0000 0.0000
0.0000 4.2662 0.0000
0.0000 0.0000 4.4479

Record 11
! ScInN2O (meta-GGA SCAN, PBEsol geometry); values from VASP
! D(E_F) = 1.6 states/eV/cell
! DFT total energy = -14.6142 eV per atom
! total magnetic moment = 2.506 Bohr magnetons per cell
&SYSTEM
  ibrav = 0, nat = 5, ntyp = 4
/
ATOMIC_SPECIES
Sc 44.96 Sc.upf
In 114.82 In.upf
N 14.01 N.upf
O 16.00 O.upf
ATOMIC_POSITIONS crystal
Sc 0.0000 0.0000 0.0000
In 0.5000 0.5000 0.5000
N 0.0000 0.5000 0.0000
N 0.5000 0.0000 0.0000
O 0.0000 0.0000 0.5000
CELL_PARAMETERS angstrom
4.1772 0.0000 0.0000
0.0000 4.1772 0.0000
0.0000 0.0000 3.9502

Record 12
! ScInNO2 (meta-GGA SCAN, PBEsol geometry); values from VASP
! D(E_F) = 2.8 states/eV/cell
! DFT total energy = -14.6172 eV per atom
! total magnetic moment = 0.005 Bohr magnetons per cell
&SYSTEM
  ibrav = 0, nat = 5, ntyp = 4
/
ATOMIC_SPECIES
Sc 44.96 Sc.upf
In 114.82 In.upf
N 14.01 N.upf
O 16.00 O.upf
ATOMIC_POSITIONS crystal
Sc 0.0000 0.0000 0.0000
In 0.5000 0.5000 0.5000
N 0.5000 0.5000 0.0000
O 0.0000 0.5000 0.5000
O 0.5000 0.0000 0.5000
CELL_PARAMETERS angstrom
4.0135 0.0000 0.0000
0.0000 4.0135 0.0000
0.0000 0.0000 4.0834

Record 13
! InTcN2O (meta-GGA SCAN, PBEsol geometry); values from VASP
! D(E_F) = 1.9 states/eV/cell
! DFT total energy = -17.2955 eV per atom
! total magnetic moment = 2.071 Bohr magnetons per cell
&SYSTEM
  ibrav = 0, nat = 5, ntyp = 4
/
ATOMIC_SPECIES
In 114.82 In.upf
Tc 98.00 Tc.upf
N 14.01 N.upf
O 16.00 O.upf
ATOMIC_POSITIONS crystal
In 0.0000 0.0000 0.0000
Tc 0.5000 0.5000 0.5000
N 0.0000 0.5000 0.0000
N 0.5000 0.0000 0.0000
O 0.0000 0.0000 0.5000
CELL_PARAMETERS angstrom
4.1347 0.0000 0.0000
0.0000 4.1347 0.0000
0.0000 0.0000 3.9936

Record 14
! InPN2 (meta-GGA SCAN, PBEsol geometry); values from VASP
! D(E_F) = 0.2 states/eV/cell
! DFT total energy = -15.6917 eV per atom
! total magnetic moment = 0.000 Bohr magnetons per cell
&SYSTEM
  ibrav = 0, nat = 12, ntyp = 3
/
ATOMIC_SPECIES
In 114.82 In.upf
P 30.97 P.upf
N 14.01 N.upf
ATOMIC_POSITIONS crystal
In 0.0000 0.0000 0.0000
In 0.3333 0.6667 0.6667
In 0.6667 0.3333 0.3333
P 0.0000 0.0000 0.5000
P 0.3333 0.6667 0.1667
P 0.6667 0.3333 0.8333
N 0.0000 0.0000 0.1195
N 0.0000 0.0000 0.8805
N 0.3333 0.6667 0.5472
N 0.3333 0.6667 0.7862
N 0.6667 0.3333 0.2138
N 0.6667 0.3333 0.4528
CELL_PARAMETERS angstrom
2.7753 0.0000 0.0000
-1.3877 2.4035 0.0000
0.0000 0.0000 19.6032

Record 15
! InPN2 (meta-GGA SCAN, PBEsol geometry); values from VASP
! DFT total energy = -15.7558 eV per atom
! total magnetic moment = 0.000 Bohr magnetons per cell
&SYSTEM
  ibrav = 0, nat = 16, ntyp = 3
/
ATOMIC_SPECIES
In 114.82 In.upf
P 30.97 P.upf
N 14.01 N.upf
ATOMIC_POSITIONS crystal
In 0.0000 0.0000 0.0000
In 0.0000 0.5000 0.2500
In 0.5000 0.0000 0.7500
In 0.5000 0.5000 0.5000
P 0.0000 0.0000 0.5000
P 0.0000 0.5000 0.7500
P 0.5000 0.0000 0.2500
P 0.5000 0.5000 0.0000
N 0.0524 0.7500 0.6250
N 0.2500 0.0524 0.3750
N 0.2500 0.4476 0.8750
N 0.4476 0.7500 0.1250
N 0.5524 0.2500 0.1250
N 0.7500 0.5524 0.8750
N 0.7500 0.9476 0.3750
N 0.9476 0.2500 0.6250
CELL_PARAMETERS angstrom
5.2517 0.0000 0.0000
0.0000 5.2517 0.0000
0.0000 0.0000 7.3880

Record 16
! InPdSN2 (meta-GGA SCAN, PBEsol geometry); values from VASP
! D(E_F) = 2.3 states/eV/cell
! DFT total energy = -17.3975 eV per atom
! total magnetic moment = 4.090 Bohr magnetons per cell
&SYSTEM
  ibrav = 0, nat = 5, ntyp = 4
/
ATOMIC_SPECIES
In 114.82 In.upf
Pd 106.42 Pd.upf
S 32.06 S.upf
N 14.01 N.upf
ATOMIC_POSITIONS crystal
In 0.0000 0.0000 0.0000
Pd 0.5000 0.5000 0.5000
S 0.0000 0.0000 0.5000
N 0.0000 0.5000 0.0000
N 0.5000 0.0000 0.0000
CELL_PARAMETERS angstrom
4.0580 0.0000 0.0000
0.0000 4.0580 0.0000
0.0000 0.0000 5.3043

Record 17
! InPtN3 (meta-GGA SCAN, PBEsol geometry); values from VASP
! D(E_F) = 5.4 states/eV/cell
! DFT total energy = -23.7833 eV per atom
! total magnetic moment = 4.288 Bohr magnetons per cell
&SYSTEM
  ibrav = 0, nat = 5, ntyp = 3
/
ATOMIC_SPECIES
In 114.82 In.upf
Pt 195.08 Pt.upf
N 14.01 N.upf
ATOMIC_POSITIONS crystal
In 0.0000 0.0000 0.0000
Pt 0.5000 0.5000 0.5000
N 0.0000 0.0000 0.5000
N 0.0000 0.5000 0.0000
N 0.5000 0.0000 0.0000
CELL_PARAMETERS angstrom
4.0753 0.0000 0.0000
0.0000 4.0753 0.0000
0.0000 0.0000 4.0753

Record 18
! RbInS2N (meta-GGA SCAN, PBEsol geometry); values from VASP
! D(E_F) = 3.0 states/eV/cell
! DFT total energy = -15.2596 eV per atom
! total magnetic moment = 5.000 Bohr magnetons per cell
&SYSTEM
  ibrav = 0, nat = 5, ntyp = 4
/
ATOMIC_SPECIES
Rb 85.47 Rb.upf
In 114.82 In.upf
S 32.06 S.upf
N 14.01 N.upf
ATOMIC_POSITIONS crystal
Rb 0.0000 0.0000 0.0000
In 0.5000 0.5000 0.5000
S 0.0000 0.5000 0.0000
S 0.5000 0.0000 0.0000
N 0.0000 0.0000 0.5000
CELL_PARAMETERS angstrom
5.8158 0.0000 0.0000
0.0000 5.8158 0.0000
0.0000 0.0000 5.1773

Record 19
! TaInRhN2 (meta-GGA SCAN, PBEsol geometry); values from VASP
! D(E_F) = 4.2 states/eV/cell
! DFT total energy = -28.5257 eV per atom
! total magnetic moment = 0.004 Bohr magnetons per cell
&SYSTEM
  ibrav = 0, nat = 5, ntyp = 4
/
ATOMIC_SPECIES
Ta 180.95 Ta.upf
In 114.82 In.upf
Rh 102.91 Rh.upf
N 14.01 N.upf
ATOMIC_POSITIONS crystal
Ta 0.0000 0.0000 0.0000
In 0.5000 0.5000 0.5000
Rh 0.5000 0.5000 0.0000
N 0.0000 0.5000 0.5000
N 0.5000 0.0000 0.5000
CELL_PARAMETERS angstrom
3.9720 0.0000 0.0000
0.0000 3.9720 0.0000
0.0000 0.0000 4.9205

Record 20
! InRuS2N (meta-GGA SCAN, PBEsol geometry); values from VASP
! D(E_F) = 3.3 states/eV/cell
! DFT total energy = -19.2094 eV per atom
! total magnetic moment = 0.000 Bohr magnetons per cell
&SYSTEM
  ibrav = 0, nat = 5, ntyp = 4
/
ATOMIC_SPECIES
In 114.82 In.upf
Ru 101.07 Ru.upf
S 32.06 S.upf
N 14.01 N.upf
ATOMIC_POSITIONS crystal
In 0.0000 0.0000 0.0000
Ru 0.5000 0.5000 0.5000
S 0.0000 0.5000 0.5000
S 0.5000 0.0000 0.5000
N 0.5000 0.5000 0.0000
CELL_PARAMETERS angstrom
4.8138 0.0000 0.0000
0.0000 4.8138 0.0000
0.0000 0.0000 3.6255